Y2Hg2Pb | PBEsol | optimized geometry

Uncorrected energy, eV per atom: -4.276
Density, Mg/m³: 10.2

abc: 7.9897 7.9897 3.9956
angles: 90.00 90.00 90.00
Space group P4/mbm (No. 127)
Unique sites:
Y1 0.1701 0.3299 0.0000 (multiplicity 4)
Hg1 0.1278 0.6278 0.5000 (multiplicity 4)
Pb1 0.0000 0.0000 0.5000 (multiplicity 2)